Material: K2Tl2Pt
Method: DFT, PBE-GGA
State: relaxed

The structure in CIF format:
```
data_K2Tl2Pt
_chemical_formula_sum 'K4 Tl4 Pt2'
_cell_length_a 7.762
_cell_length_b 7.762
_cell_length_c 5.587
_cell_angle_alpha 90.00
_cell_angle_beta 90.00
_cell_angle_gamma 90.00
_symmetry_space_group_name_H-M 'P 4/m b m'
_symmetry_Int_Tables_number 127
_symmetry_space_group_name_Hall '-P 4 2ab'
loop_
_atom_site_label
_atom_site_type_symbol
_atom_site_fract_x
_atom_site_fract_y
_atom_site_fract_z
K1 K 0.141 0.359 0.000
Tl1 Tl 0.183 0.683 0.500
Pt1 Pt 0.000 0.000 0.000
```

Results
- calculated volume (Å³/cell) = 336.6
- polymorph energy (0 for the lowest one) (eV per atom) = 0.4989